Record 1
DFT (PBE) results for a geometry-optimized Tb5Pr3Se8 structure.

Values from the calculation:
**DOS(E_F)**: 0.620 states/eV per atom
**Space-group type**: No. 166

Unit cell a=8.3750 b=8.3750 c=8.3750 alpha=59.20 beta=59.20 gamma=59.20
Last column: nearest neighbours and their distance in Å.
Fractional coordinates of all 16 atoms:
Tb  0.0000  0.0000  0.0000  6 Se 2.94
Tb  0.0000  0.5000  0.5000  6 Se 2.88
Tb  0.5000  0.0000  0.5000  6 Se 2.88
Tb  0.5000  0.5000  0.0000  6 Se 2.88
Tb  0.5000  0.5000  0.5000  6 Se 2.95
Pr  0.0000  0.0000  0.5000  6 Se 3.01
Pr  0.0000  0.5000  0.0000  6 Se 3.01
Pr  0.5000  0.0000  0.0000  6 Se 3.01
Se  0.2498  0.2498  0.7397  4 Tb 2.88-2.95, 2 Pr 3.01
Se  0.2498  0.7397  0.2498  4 Tb 2.88-2.95, 2 Pr 3.01
Se  0.2553  0.2553  0.2553  3 Tb 2.88, 3 Pr 3.01
Se  0.2603  0.7502  0.7502  4 Tb 2.88-2.95, 2 Pr 3.01
Se  0.7397  0.2498  0.2498  4 Tb 2.88-2.95, 2 Pr 3.01
Se  0.7447  0.7447  0.7447  3 Tb 2.88, 3 Pr 3.01
Se  0.7502  0.2603  0.7502  4 Tb 2.88-2.95, 2 Pr 3.01
Se  0.7502  0.7502  0.2603  4 Tb 2.88-2.95, 2 Pr 3.01

Record 2
DFT (PBE) results for a geometry-optimized TbPr5Se8 structure.

Values from the calculation:
**DOS(E_F)**: 0.700 states/eV per atom
**Space-group type**: No. 82

Unit cell a=7.7667 b=7.7667 c=7.7667 alpha=109.79 beta=109.79 gamma=108.84
Last column: nearest neighbours and their distance in Å.
Fractional coordinates of all 14 atoms:
Tb  0.0000  0.0000  0.0000  8 Se 2.94-3.19
Pr  0.2560  0.6233  0.1315  8 Se 3.03-3.24
Pr  0.3767  0.5082  0.6327  8 Se 3.03-3.24
Pr  0.4918  0.1245  0.8685  8 Se 3.03-3.24
Pr  0.7500  0.2500  0.5000  8 Se 3.01-3.22
Pr  0.8755  0.7440  0.3673  8 Se 3.03-3.24
Se  0.1204  0.7310  0.7552  1 Tb 2.94, 5 Pr 3.03-3.24
Se  0.1236  0.2228  0.7489  5 Pr 3.01-3.22, 1 Tb 3.19
Se  0.2690  0.0242  0.3894  1 Tb 2.94, 5 Pr 3.03-3.24
Se  0.4738  0.3747  0.2511  5 Pr 3.01-3.22, 1 Tb 3.19
Se  0.6253  0.8764  0.0991  5 Pr 3.01-3.22, 1 Tb 3.19
Se  0.6348  0.8796  0.6106  1 Tb 2.94, 5 Pr 3.03-3.24
Se  0.7772  0.5262  0.9009  5 Pr 3.01-3.22, 1 Tb 3.19
Se  0.9758  0.3652  0.2448  1 Tb 2.94, 5 Pr 3.03-3.24

Record 3
DFT (PBE) results for a geometry-optimized Tb5PrSe6 structure.

Values from the calculation:
**DOS(E_F)**: 0.397 states/eV per atom
**Space-group type**: No. 12

Unit cell a=7.1534 b=7.1534 c=7.1282 alpha=99.63 beta=99.63 gamma=120.05
Last column: nearest neighbours and their distance in Å.
Fractional coordinates of all 12 atoms:
Tb  0.0000  0.0000  0.0000  6 Se 2.85-2.92
Tb  0.1654  0.8346  0.5000  6 Se 2.88-2.92
Tb  0.3401  0.6599  0.0000  6 Se 2.88-2.92
Tb  0.6599  0.3401  0.0000  6 Se 2.88-2.92
Tb  0.8346  0.1654  0.5000  6 Se 2.88-2.92
Pr  0.5000  0.5000  0.5000  6 Se 2.98-3.00
Se  0.0713  0.4151  0.2435  5 Tb 2.89-2.92, 1 Pr 3.00
Se  0.2410  0.2410  0.7515  5 Tb 2.85-2.88, 1 Pr 2.98
Se  0.4151  0.0713  0.2435  5 Tb 2.89-2.92, 1 Pr 3.00
Se  0.5849  0.9287  0.7565  5 Tb 2.89-2.92, 1 Pr 3.00
Se  0.7590  0.7590  0.2485  5 Tb 2.85-2.88, 1 Pr 2.98
Se  0.9287  0.5849  0.7565  5 Tb 2.89-2.92, 1 Pr 3.00

Record 4
DFT (PBE) results for a geometry-optimized Tb3Pr5Se8 structure.

Values from the calculation:
**DOS(E_F)**: 0.623 states/eV per atom
**Space-group type**: No. 166

Unit cell a=8.4607 b=8.4607 c=8.4607 alpha=59.21 beta=59.21 gamma=59.21
Last column: nearest neighbours and their distance in Å.
Fractional coordinates of all 16 atoms:
Tb  0.0000  0.5000  0.5000  6 Se 2.91
Tb  0.5000  0.0000  0.5000  6 Se 2.91
Tb  0.5000  0.5000  0.0000  6 Se 2.91
Pr  0.0000  0.0000  0.0000  6 Se 2.97
Pr  0.0000  0.0000  0.5000  6 Se 3.04
Pr  0.0000  0.5000  0.0000  6 Se 3.04
Pr  0.5000  0.0000  0.0000  6 Se 3.04
Pr  0.5000  0.5000  0.5000  6 Se 2.98
Se  0.2499  0.2499  0.7390  2 Tb 2.91, 4 Pr 2.97-3.04
Se  0.2499  0.7390  0.2499  2 Tb 2.91, 4 Pr 2.97-3.04
Se  0.2554  0.2554  0.2554  3 Tb 2.91, 3 Pr 3.04
Se  0.2610  0.7501  0.7501  2 Tb 2.91, 4 Pr 2.97-3.04
Se  0.7390  0.2499  0.2499  2 Tb 2.91, 4 Pr 2.97-3.04
Se  0.7446  0.7446  0.7446  3 Tb 2.91, 3 Pr 3.04
Se  0.7501  0.2610  0.7501  2 Tb 2.91, 4 Pr 2.97-3.04
Se  0.7501  0.7501  0.2610  2 Tb 2.91, 4 Pr 2.97-3.04

Record 5
DFT (PBE) results for a geometry-optimized TbPr3Se4 structure.

Values from the calculation:
**DOS(E_F)**: 0.481 states/eV per atom
**Space-group type**: No. 13

Unit cell a=7.3748 b=8.3750 c=7.3128 alpha=90.00 beta=109.23 gamma=90.00
Last column: nearest neighbours and their distance in Å.
Fractional coordinates of all 16 atoms:
Tb  0.0000  0.1265  0.2500  6 Se 2.91-2.93
Tb  0.0000  0.8735  0.7500  6 Se 2.91-2.93
Pr  0.0000  0.3762  0.7500  6 Se 2.98-3.00
Pr  0.0000  0.6238  0.2500  6 Se 2.98-3.00
Pr  0.5000  0.1264  0.7500  6 Se 2.98-3.06
Pr  0.5000  0.3772  0.2500  6 Se 2.99-3.06
Pr  0.5000  0.6228  0.7500  6 Se 2.99-3.06
Pr  0.5000  0.8736  0.2500  6 Se 2.98-3.06
Se  0.2395  0.1196  0.0004  2 Tb 2.93, 4 Pr 2.99-3.06
Se  0.2395  0.8804  0.5004  2 Tb 2.93, 4 Pr 2.99-3.06
Se  0.2445  0.3691  0.4943  1 Tb 2.91, 5 Pr 2.98-3.04
Se  0.2445  0.6309  0.9943  1 Tb 2.91, 5 Pr 2.98-3.04
Se  0.7555  0.3691  0.0057  1 Tb 2.91, 5 Pr 2.98-3.04
Se  0.7555  0.6309  0.5057  1 Tb 2.91, 5 Pr 2.98-3.04
Se  0.7605  0.1196  0.4996  2 Tb 2.93, 4 Pr 2.99-3.06
Se  0.7605  0.8804  0.9996  2 Tb 2.93, 4 Pr 2.99-3.06

Record 6
DFT (PBE) results for a geometry-optimized TbPr4Se7 structure.

Values from the calculation:
**DOS(E_F)**: 0.120 states/eV per atom
**Space-group type**: No. 8

Unit cell a=7.2459 b=7.2459 c=12.5272 alpha=104.33 beta=104.33 gamma=33.03
Last column: nearest neighbours and their distance in Å.
Fractional coordinates of all 12 atoms:
Tb  0.0000  0.0000  0.0000  6 Se 2.83-2.97
Pr  0.1125  0.1125  0.4202  6 Se 2.92-2.99
Pr  0.2252  0.2252  0.8481  6 Se 2.91-3.05
Pr  0.4141  0.4141  0.6150  7 Se 2.98-3.22
Pr  0.8121  0.8121  0.2304  7 Se 2.99-3.22
Se  0.0735  0.0735  0.6385  4 Pr 2.91-2.98
Se  0.1508  0.1508  0.2012  1 Tb 2.83, 3 Pr 2.93-2.99
Se  0.3799  0.3799  0.0712  2 Tb 2.93, 3 Pr 3.05-3.17
Se  0.4511  0.4511  0.3718  5 Pr 2.99-3.22
Se  0.6083  0.6083  0.9262  2 Tb 2.84, 2 Pr 2.94
Se  0.7737  0.7737  0.4732  5 Pr 2.99-3.22
Se  0.8562  0.8562  0.7789  1 Tb 2.97, 4 Pr 3.02-3.15

| no. | total DFT energy (no corrections) (eV per atom) |
| --- | --- |
| 1 | -5.880 |
| 2 | -5.878 |
| 3 | -5.855 |
| 4 | -5.917 |
| 5 | -5.940 |
| 6 | -5.895 |